(1)
Compound: Tb7Dy3Th2
Source: the Alexandria database
Functional: GGA-PBE
Structure: optimized geometry

**Calculated volume**: 31.98 Å³ per atom
**Energy of formation**: 0.033 eV per atom
**DOS at the Fermi energy**: 15.51 states/eV/cell

```
Tb7Dy3Th2
1.0
-2.529 1.987 1.557
-1.630 -4.821 3.502
8.774 1.966 15.840
Tb Dy Th
7 3 2
direct
0.250 0.742 0.501 Tb
0.750 0.258 0.499 Tb
0.583 0.974 0.833 Tb
0.000 0.000 0.000 Tb
0.417 0.026 0.167 Tb
0.917 0.532 0.166 Tb
0.083 0.468 0.834 Tb
0.500 0.500 0.000 Dy
0.166 0.942 0.666 Dy
0.834 0.058 0.334 Dy
0.666 0.447 0.667 Th
0.334 0.553 0.333 Th
```

---

(2)
Compound: SrScCl2
Source: the Alexandria database
Functional: GGA-PBE
Structure: optimized geometry

**Calculated volume**: 27.71 Å³ per atom
**Uncorrected energy**: -4.11 eV per atom
**DOS at the Fermi energy**: 3.36 states/eV/cell

```
SrScCl2
1.0
-1.883 -0.907 3.327
1.857 -2.490 -2.405
7.591 1.197 4.622
Sc Sr Cl
1 1 2
direct
0.500 0.500 0.250 Sc
0.500 0.500 0.750 Sr
0.000 0.000 0.029 Cl
0.000 0.000 0.471 Cl
```

---

(3)
Compound: KHfOs2
Source: the Alexandria database
Functional: GGA-PBE
Structure: optimized geometry

**Calculated volume**: 27.92 Å³ per atom
**Energy of formation**: 1.242 eV per atom
**DOS at the Fermi energy**: 8.34 states/eV/cell

```
KHfOs2
1.0
4.944 0.000 0.000
0.000 4.944 0.000
2.472 2.472 9.138
Hf K Os
2 2 4
direct
0.000 0.000 0.000 Hf
0.750 0.250 0.500 Hf
0.500 0.500 0.000 K
0.250 0.750 0.500 K
0.851 0.125 0.250 Os
0.899 0.625 0.250 Os
0.375 0.149 0.750 Os
0.875 0.101 0.750 Os
```

---

(4)
Compound: Li2TbGa2Si2
Source: the Alexandria database
Functional: GGA-PBE
Structure: optimized geometry

**Calculated volume**: 17.23 Å³ per atom
**Uncorrected energy**: -3.98 eV per atom
**DOS at the Fermi energy**: 2.47 states/eV/cell

```
Li2TbGa2Si2
1.0
-1.714 -2.170 3.216
-1.792 -3.779 -0.708
5.632 -5.450 2.122
Li Tb Ga Si
2 1 2 2
direct
0.143 0.143 0.571 Li
0.857 0.857 0.429 Li
0.000 0.000 0.000 Tb
0.562 0.562 0.313 Ga
0.438 0.438 0.687 Ga
0.742 0.742 0.773 Si
0.258 0.258 0.227 Si
```

---

(5)
Compound: RbTa2PN
Source: the Alexandria database
Functional: GGA-PBE
Structure: optimized geometry

**Calculated volume**: 20.08 Å³ per atom
**Uncorrected energy**: -6.90 eV per atom
**DOS at the Fermi energy**: 4.56 states/eV/cell

```
RbTa2PN
1.0
4.230 0.000 0.000
0.000 5.609 0.000
0.000 0.000 4.230
P N Rb Ta
1 1 1 2
direct
0.000 0.500 0.000 P
0.000 0.000 0.000 N
0.500 0.500 0.500 Rb
0.000 0.000 0.500 Ta
0.500 0.000 0.000 Ta
```

---

(6)
Compound: Li4TeI2
Source: the Alexandria database
Functional: GGA-PBE
Structure: optimized geometry

**Calculated volume**: 30.66 Å³ per atom
**Uncorrected energy**: -2.97 eV per atom
**DOS at the Fermi energy**: 0.00 states/eV/cell

```
Li4TeI2
1.0
5.308 0.000 0.000
0.000 5.308 0.000
2.654 2.654 7.617
I Te Li
2 1 4
direct
0.351 0.351 0.299 I
0.649 0.649 0.701 I
0.000 0.000 0.000 Te
0.176 0.176 0.648 Li
0.824 0.824 0.352 Li
0.000 0.500 0.000 Li
0.500 0.000 0.000 Li
```

---

(7)
Compound: LaPmOs
Source: the Alexandria database
Functional: GGA-PBE
Structure: optimized geometry

**Calculated volume**: 31.29 Å³ per atom
**Energy of formation**: -0.043 eV per atom
**DOS at the Fermi energy**: 4.86 states/eV/cell

```
LaPmOs
1.0
7.072 0.000 0.000
3.536 6.125 0.000
3.536 2.042 6.502
Os Pm La
3 3 3
direct
0.172 0.172 0.485 Os
0.327 0.327 0.018 Os
0.663 0.663 0.010 Os
0.744 0.411 0.762 Pm
0.083 0.744 0.762 Pm
0.411 0.083 0.762 Pm
0.581 0.912 0.251 La
0.912 0.256 0.251 La
0.256 0.581 0.251 La
```

---

(8)
Compound: AlRe2Ir
Source: the Alexandria database
Functional: GGA-PBE
Structure: optimized geometry

**Calculated volume**: 14.63 Å³ per atom
**Energy of formation**: -0.140 eV per atom
**DOS at the Fermi energy**: 2.59 states/eV/cell

```
AlRe2Ir
1.0
-1.506 -0.039 3.821
-0.669 -2.666 -0.291
4.294 -2.695 1.666
Re Ir Al
2 1 1
direct
0.000 0.937 0.999 Re
0.500 0.307 0.262 Re
0.500 0.564 0.745 Ir
0.000 0.693 0.495 Al
```